Computed, not measured: a geometry-optimized Er3BeC2 structure at the PBE level of DFT.

Structure (POSCAR):
```
Er3BeC2
1.0
-4.260 4.613 -1.808
3.656 -2.762 -4.659
-2.918 -5.394 2.255
Er Be C
6 2 4
Direct
0.961 0.250 0.211 Er
0.500 0.704 0.704 Er
0.000 0.796 0.296 Er
0.000 0.204 0.704 Er
0.039 0.750 0.789 Er
0.500 0.296 0.296 Er
0.565 0.250 0.815 Be
0.435 0.750 0.185 Be
0.000 0.500 0.000 C
0.500 0.000 0.000 C
0.689 0.750 0.439 C
0.311 0.250 0.561 C
```


Computed, not measured: a geometry-optimized Er2BeC2 structure at the PBE level of DFT.

Structure (POSCAR):
```
Er2BeC2
1.0
-0.603 -4.538 -2.100
5.779 -2.238 3.175
-4.602 -2.462 6.642
C Be Er
8 4 8
Direct
0.250 0.645 0.580 C
0.750 0.994 0.652 C
0.750 0.494 0.848 C
0.250 0.506 0.152 C
0.750 0.855 0.080 C
0.750 0.355 0.420 C
0.250 0.145 0.920 C
0.250 0.006 0.348 C
0.750 0.735 0.902 Be
0.750 0.235 0.598 Be
0.250 0.265 0.098 Be
0.250 0.765 0.402 Be
0.250 0.863 0.093 Er
0.750 0.137 0.907 Er
0.750 0.023 0.343 Er
0.750 0.523 0.157 Er
0.250 0.363 0.407 Er
0.250 0.977 0.657 Er
0.750 0.637 0.593 Er
0.250 0.477 0.843 Er
```


no.,total magnetization (μB per cell),E_tot (eV/cell),formation enthalpy at 0 K (meV/atom)
1,0.007,-71.46,22
2,0.000,-130.14,-247